(1)
Density functional theory data (GGA-PBE) for a geometry-optimized SiSbP2Cl structure.

Geometry as POSCAR:
```
SiSbP2Cl
1.0
4.691 0.000 0.000
0.000 4.691 0.000
0.000 0.000 4.506
Sb Cl P Si
1 1 2 1
direct
0.500 0.500 0.500
0.000 0.000 0.500
0.000 0.500 0.000
0.500 0.000 0.000
0.000 0.000 0.000
```

Summary:
SG: No. 123
Energy above the most stable polymorph in this dataset in eV/atom: 0.000
Magnetic moment in Bohr magnetons per cell: 0.000
Density of states at the Fermi level in states/eV per cell: 2.4
Raw formation energy in meV per atom: 380.2

---

(2)
Density functional theory data (GGA-PBE) for a geometry-optimized Nd4HgOs structure.

Geometry as POSCAR:
```
Nd4HgOs
1.0
6.327 -0.879 0.000
-2.723 8.922 0.000
-1.802 -4.021 6.619
Hg Nd Os
2 8 2
direct
0.626 0.376 0.751
0.374 0.624 0.249
0.395 0.938 0.660
0.232 0.637 0.842
0.768 0.363 0.158
0.765 0.722 0.660
0.110 0.206 0.842
0.605 0.062 0.340
0.235 0.278 0.340
0.890 0.794 0.158
0.250 0.000 0.000
0.750 0.000 0.000
```

Summary:
SG: No. 15
Energy above the most stable polymorph in this dataset in eV/atom: 0.007
Magnetic moment in Bohr magnetons per cell: 0.000
Density of states at the Fermi level in states/eV per cell: 14.0
Formation energy from the elements in eV/atom: -0.238

---

(3)
Density functional theory data (GGA-PBE) for a geometry-optimized PrHg2Au2 structure.

Geometry as POSCAR:
```
PrHg2Au2
1.0
5.104 0.022 0.010
2.531 4.002 1.786
-0.014 0.358 5.844
Hg Pr Au
2 1 2
direct
0.723 0.053 0.656
0.277 0.947 0.344
0.500 0.500 0.000
0.907 0.687 0.235
0.093 0.313 0.765
```

Summary:
SG: No. 12
Energy above the most stable polymorph in this dataset in eV/atom: 0.000
Magnetic moment in Bohr magnetons per cell: 0.000
Density of states at the Fermi level in states/eV per cell: 1.8
Formation energy from the elements in eV/atom: -0.426

---

(4)
Density functional theory data (GGA-PBE) for a geometry-optimized Li2Pr3Bi4 structure.

Geometry as POSCAR:
```
Li2Pr3Bi4
1.0
4.600 0.000 0.000
-2.300 7.170 -0.787
0.000 -4.210 8.711
Bi Li Pr
4 2 3
direct
0.929 0.859 0.601
0.322 0.644 0.913
0.678 0.356 0.087
0.071 0.141 0.399
0.683 0.367 0.379
0.317 0.633 0.621
0.638 0.275 0.720
0.000 0.000 0.000
0.362 0.725 0.280
```

Summary:
SG: No. 12
Magnetic moment in Bohr magnetons per cell: 0.000
Density of states at the Fermi level in states/eV per cell: 2.8
Formation energy from the elements in eV/atom: -0.724

---

- What is the density of states at the Fermi level in the first record?
  2.4 states/eV per cell

---

- Number 2 is which compound?
  Nd4HgOs

---

- What is the density of states at the Fermi level in the fourth record?
  2.8 states/eV per cell